[1]
PBE DyInPt, optimized geometry; raw total energy = -5.19 eV per atom
1.0
7.199 0.000 0.000
-3.600 6.235 0.000
0.000 0.000 4.362
Dy In Pt
3 3 3
Direct
0.000 0.564 0.000
0.436 0.436 0.000
0.564 0.000 0.000
0.000 0.000 0.000
0.333 0.667 0.500
0.667 0.333 0.500
0.000 0.245 0.500
0.245 0.000 0.500
0.755 0.755 0.500

[2]
PBE Ho3Mg3CdAgPt, optimized geometry; raw total energy = -3.65 eV per atom
1.0
7.865 0.000 0.000
-3.933 6.812 0.000
0.000 0.000 3.915
Ho Mg Cd Ag Pt
3 3 1 1 1
Direct
0.095 0.368 0.000
0.273 0.905 0.000
0.632 0.727 0.000
0.411 0.328 0.500
0.672 0.083 0.500
0.917 0.589 0.500
0.000 0.000 0.500
0.667 0.333 0.000
0.333 0.667 0.500

[3]
PBE CsZrAg, optimized geometry; raw total energy = -2.38 eV per atom; energy above the lowest structure with this stoichiometry = 0.398 eV per atom
1.0
0.000 3.546 3.546
3.546 0.000 3.546
3.546 3.546 0.000
Cs Zr Ag
1 1 1
Direct
0.000 0.000 0.000
0.250 0.250 0.250
0.750 0.750 0.750

[4]
PBE CuBiTe2, optimized geometry; raw total energy = -3.09 eV per atom
1.0
0.000 3.717 3.717
3.717 0.000 3.717
3.717 3.717 0.000
Cu Bi Te
1 1 2
Direct
0.000 0.000 0.000
0.750 0.750 0.750
0.250 0.250 0.250
0.500 0.500 0.500